Material: Sr2LaAs2
Method: DFT, PBE
State: relaxed Values from VASP.

Cell and atoms, written as Quantum ESPRESSO input:
```
&SYSTEM
  ibrav = 0, nat = 5, ntyp = 3
/
ATOMIC_SPECIES
Sr 87.62 Sr.upf
As 74.92 As.upf
La 138.91 La.upf
ATOMIC_POSITIONS crystal
Sr 0.750 0.250 0.500
Sr 0.250 0.750 0.500
As 0.403 0.403 0.193
As 0.597 0.597 0.807
La 0.000 0.000 0.000
CELL_PARAMETERS angstrom
4.675 0.000 0.000
0.000 4.675 0.000
2.338 2.338 6.807
```

Output
DOS(E_F) = 4.25 states/eV per cell
crystal system = tetragonal
energy of formation = -0.695 eV per atom
energy relative to the lowest polymorph listed for this composition = 0.367 eV per atom